# 1
Compound: LiGdHgPb
Source: OQMD via LeMat-Bulk
Functional: PBE
Structure: relaxed

Summary:
E in eV per atom: -3.10
Magnetic moment in μB per cell: 0.0
SG: F-43m (216)

a = 5.184 Å, b = 5.184 Å, c = 5.184 Å
α = 60.00°, β = 60.00°, γ = 60.00°
Fractional positions:
1 Li 0.500 0.500 0.500
2 Pb 0.750 0.750 0.750
3 Gd 0.000 0.000 0.000
4 Hg 0.250 0.250 0.250

# 2
Compound: LuSiIr
Source: OQMD via LeMat-Bulk
Functional: PBE
Structure: relaxed

Summary:
E in eV per atom: -7.23
Magnetic moment in μB per cell: 0.0
SG: P6_3/mmc (194)

a = 4.203 Å, b = 4.203 Å, c = 7.109 Å
α = 90.00°, β = 90.00°, γ = 120.00°
Fractional positions:
1 Lu 0.000 0.000 0.000
2 Lu 0.000 0.000 0.500
3 Si 0.333 0.667 0.250
4 Si 0.667 0.333 0.750
5 Ir 0.333 0.667 0.750
6 Ir 0.667 0.333 0.250

# 3
Compound: CoW4N3
Source: OQMD via LeMat-Bulk
Functional: PBE
Structure: relaxed

Summary:
E in eV per atom: -10.34
Magnetic moment in μB per cell: 1.4
SG: P6_3/mmc (194)

a = 2.809 Å, b = 2.809 Å, c = 26.054 Å
α = 90.00°, β = 90.00°, γ = 120.00°
Each line ends with the local moment (μB).
Fractional positions:
1 N 0.667 0.333 0.385  0.00
2 N 0.333 0.667 0.615  0.00
3 N 0.000 0.000 0.000  0.00
4 N 0.000 0.000 0.500  0.00
5 N 0.667 0.333 0.115  0.00
6 N 0.333 0.667 0.885  0.00
7 W 0.667 0.333 0.943  0.01
8 W 0.000 0.000 0.670  0.01
9 W 0.333 0.667 0.057  0.01
10 W 0.333 0.667 0.443  0.01
11 W 0.000 0.000 0.330  0.01
12 W 0.000 0.000 0.830  0.01
13 W 0.667 0.333 0.557  0.01
14 W 0.000 0.000 0.170  0.01
15 Co 0.667 0.333 0.750  -0.73
16 Co 0.333 0.667 0.250  -0.73

# 4
Compound: UZn20Co2
Source: OQMD via LeMat-Bulk
Functional: PBE
Structure: relaxed

Summary:
E in eV per atom: -2.28
Magnetic moment in μB per cell: 0.0
Energy of formation from the pure elements in kJ per mole of atoms: -7.3
SG: Fd-3m (227)

a = 9.881 Å, b = 9.881 Å, c = 9.881 Å
α = 60.00°, β = 60.00°, γ = 60.00°
Fractional positions:
1 Zn 0.950 0.681 0.420
2 Zn 0.300 0.300 0.830
3 Zn 0.113 0.387 0.387
4 Zn 0.625 0.125 0.625
5 Zn 0.300 0.300 0.569
6 Zn 0.830 0.569 0.300
7 Zn 0.300 0.830 0.569
8 Zn 0.681 0.950 0.950
9 Zn 0.113 0.387 0.113
10 Zn 0.950 0.950 0.681
11 Zn 0.681 0.950 0.420
12 Zn 0.830 0.300 0.569
13 Zn 0.569 0.830 0.300
14 Zn 0.625 0.625 0.625
15 Zn 0.137 0.137 0.863
16 Zn 0.830 0.300 0.300
17 Zn 0.300 0.569 0.830
18 Zn 0.420 0.681 0.950
19 Zn 0.863 0.137 0.863
20 Zn 0.113 0.113 0.387
21 Zn 0.387 0.387 0.113
22 Zn 0.137 0.863 0.863
23 Zn 0.387 0.113 0.387
24 Zn 0.420 0.950 0.950
25 Zn 0.137 0.863 0.137
26 Zn 0.569 0.300 0.830
27 Zn 0.387 0.113 0.113
28 Zn 0.625 0.625 0.125
29 Zn 0.300 0.830 0.300
30 Zn 0.420 0.950 0.681
31 Zn 0.950 0.420 0.950
32 Zn 0.300 0.569 0.300
33 Zn 0.950 0.420 0.681
34 Zn 0.569 0.300 0.300
35 Zn 0.125 0.625 0.625
36 Zn 0.863 0.863 0.137
37 Zn 0.863 0.137 0.137
38 Zn 0.681 0.420 0.950
39 Zn 0.950 0.681 0.950
40 Zn 0.950 0.950 0.420
41 Co 0.125 0.625 0.125
42 Co 0.125 0.125 0.125
43 Co 0.625 0.125 0.125
44 Co 0.125 0.125 0.625
45 U 0.500 0.500 0.500
46 U 0.750 0.750 0.750

# 5
Compound: SnTePtO
Source: OQMD via LeMat-Bulk
Functional: PBE
Structure: relaxed

Summary:
E in eV per atom: -4.67
Magnetic moment in μB per cell: 0.0
SG: P4/nmm (129)
E above lowest polymorph in meV per atom: 503

a = 4.528 Å, b = 4.528 Å, c = 8.253 Å
α = 90.00°, β = 90.00°, γ = 90.00°
Fractional positions:
1 Pt 0.750 0.750 0.182
2 Pt 0.250 0.250 0.818
3 O 0.250 0.250 0.542
4 O 0.750 0.750 0.458
5 Sn 0.750 0.250 0.000
6 Sn 0.250 0.750 0.000
7 Te 0.750 0.750 0.685
8 Te 0.250 0.250 0.315

# 6
Compound: Cu5Se4
Source: OQMD via LeMat-Bulk
Functional: PBE
Structure: relaxed

Summary:
E in eV per atom: -3.68
SG: P2_1/c (14)

a = 6.628 Å, b = 4.253 Å, c = 11.472 Å
α = 90.00°, β = 101.67°, γ = 90.00°
Fractional positions:
1 Cu 0.241 0.913 0.226
2 Cu 0.241 0.587 0.726
3 Cu 0.326 0.157 0.016
4 Cu 0.674 0.657 0.484
5 Cu 0.759 0.413 0.274
6 Cu 0.000 0.500 0.000
7 Cu 0.674 0.843 0.984
8 Cu 0.326 0.343 0.516
9 Cu 0.759 0.087 0.774
10 Cu 0.000 0.000 0.500
11 Se 0.463 0.879 0.627
12 Se 0.463 0.621 0.127
13 Se 0.537 0.379 0.873
14 Se 0.919 0.127 0.130
15 Se 0.537 0.121 0.373
16 Se 0.081 0.873 0.870
17 Se 0.081 0.627 0.370
18 Se 0.919 0.373 0.630

# 7
Compound: TmGa2F4
Source: OQMD via LeMat-Bulk
Functional: PBE
Structure: relaxed

Summary:
E in eV per atom: -4.82
Magnetic moment in μB per cell: 0.9
SG: P-3m1 (164)

a = 3.756 Å, b = 3.756 Å, c = 9.957 Å
α = 90.00°, β = 90.00°, γ = 120.00°
Each line ends with the local moment (μB).
Fractional positions:
1 F 0.667 0.333 0.068  0.01
2 F 0.333 0.667 0.448  0.00
3 F 0.333 0.667 0.932  0.01
4 F 0.667 0.333 0.552  0.00
5 Ga 0.333 0.667 0.154  0.04
6 Ga 0.667 0.333 0.846  0.04
7 Tm 0.000 0.000 0.500  0.38

# 8
Compound: LiPaSe3
Source: OQMD via LeMat-Bulk
Functional: PBE
Structure: relaxed

Summary:
E in eV per atom: -5.68
Magnetic moment in μB per cell: 0.0
SG: C2/c (15)

a = 8.863 Å, b = 8.863 Å, c = 7.244 Å
α = 96.52°, β = 96.52°, γ = 88.16°
Fractional positions:
1 Li 0.410 0.590 0.250
2 Li 0.590 0.410 0.750
3 Li 0.759 0.241 0.250
4 Li 0.241 0.759 0.750
5 Se 0.625 0.134 0.909
6 Se 0.445 0.302 0.363
7 Se 0.134 0.625 0.409
8 Se 0.302 0.445 0.863
9 Se 0.202 0.057 0.657
10 Se 0.943 0.798 0.843
11 Se 0.698 0.555 0.137
12 Se 0.375 0.866 0.091
13 Se 0.798 0.943 0.343
14 Se 0.866 0.375 0.591
15 Se 0.555 0.698 0.637
16 Se 0.057 0.202 0.157
17 Pa 0.165 0.329 0.509
18 Pa 0.329 0.165 0.009
19 Pa 0.671 0.835 0.991
20 Pa 0.835 0.671 0.491

# 9
Compound: Dy4Al4O11
Source: OQMD via LeMat-Bulk
Functional: PBE
Structure: relaxed

Summary:
E in eV per atom: -7.79
Magnetic moment in μB per cell: 0.0
SG: P1 (1)

a = 5.172 Å, b = 5.305 Å, c = 7.382 Å
α = 90.09°, β = 89.92°, γ = 90.31°
Fractional positions:
1 O 0.085 0.480 0.250
2 O 0.792 0.793 0.044
3 O 0.419 0.982 0.249
4 O 0.792 0.792 0.456
5 O 0.585 0.023 0.751
6 O 0.915 0.519 0.750
7 O 0.293 0.707 0.956
8 O 0.206 0.207 0.545
9 O 0.209 0.208 0.957
10 O 0.292 0.709 0.546
11 O 0.707 0.293 0.453
12 Al 0.996 0.496 0.001
13 Al 0.000 0.500 0.500
14 Al 0.502 0.001 0.000
15 Al 0.500 0.000 0.499
16 Dy 0.989 0.051 0.251
17 Dy 0.515 0.550 0.246
18 Dy 0.487 0.449 0.749
19 Dy 0.012 0.947 0.752

# 10
Compound: MgGaCoSi
Source: OQMD via LeMat-Bulk
Functional: PBE
Structure: relaxed

Summary:
E in eV per atom: -4.12
Magnetic moment in μB per cell: 0.0
SG: F-43m (216)
E above lowest polymorph in meV per atom: 130

a = 4.313 Å, b = 4.313 Å, c = 4.313 Å
α = 60.00°, β = 60.00°, γ = 60.00°
Fractional positions:
1 Mg 0.750 0.750 0.750
2 Ga 0.000 0.000 0.000
3 Si 0.250 0.250 0.250
4 Co 0.500 0.500 0.500

# 11
Compound: CoSb2Pt
Source: OQMD via LeMat-Bulk
Functional: PBE
Structure: relaxed

Summary:
E in eV per atom: -5.25
Magnetic moment in μB per cell: 0.0
SG: P-6m2 (187)
E above lowest polymorph in meV per atom: 0

a = 3.444 Å, b = 3.444 Å, c = 7.395 Å
α = 90.00°, β = 90.00°, γ = 120.00°
Fractional positions:
1 Pt 0.667 0.333 0.500
2 Sb 0.333 0.667 0.767
3 Sb 0.333 0.667 0.233
4 Co 0.000 0.000 0.000

# 12
Compound: KHfTePdS2
Source: OQMD via LeMat-Bulk
Functional: PBE
Structure: relaxed

Summary:
E in eV per atom: -5.67
Magnetic moment in μB per cell: 0.0
SG: P2_1/m (11)
E above lowest polymorph in meV per atom: 0

a = 8.556 Å, b = 3.869 Å, c = 9.583 Å
α = 90.00°, β = 111.62°, γ = 90.00°
Fractional positions:
1 Hf 0.822 0.250 0.335
2 Hf 0.178 0.750 0.665
3 K 0.211 0.250 0.206
4 K 0.789 0.750 0.794
5 Pd 0.612 0.750 0.084
6 Pd 0.388 0.250 0.916
7 S 0.033 0.750 0.370
8 S 0.234 0.750 0.938
9 S 0.766 0.250 0.062
10 S 0.967 0.250 0.630
11 Te 0.578 0.750 0.360
12 Te 0.422 0.250 0.640